ErCoO2 | PBE+U | optimized geometry

Unit cell a=6.0483 b=6.0483 c=6.0483 alpha=33.95 beta=33.95 gamma=33.95
Last column: nearest neighbours and their distance in Å.
Fractional positions:
Er 0.0000 0.0000 0.0000  6 O 2.27
Co 0.5000 0.5000 0.5000  2 O 1.84
O 0.3923 0.3923 0.3923  1 Co 1.84
O 0.6077 0.6077 0.6077  1 Co 1.84

Properties
- density (Mg/m³) = 6.97
- V (Å³ per atom) = 15.38
- crystal system = trigonal
- raw total energy (eV per cell) = -28.96

=====

ErCoO3 | PBE+U | optimized geometry

Unit cell a=5.7391 b=7.3364 c=5.1634 alpha=90.00 beta=90.00 gamma=90.00
Last column: nearest neighbours and their distance in Å.
Fractional positions:
Er 0.0839 0.2500 0.0240  6 O 2.23-2.44
Er 0.4161 0.7500 0.5240  6 O 2.23-2.44
Er 0.5839 0.2500 0.4760  6 O 2.23-2.44
Er 0.9161 0.7500 0.9760  6 O 2.23-2.44
Co 0.0000 0.0000 0.5000  6 O 1.92-2.13
Co 0.0000 0.5000 0.5000  6 O 1.92-2.13
Co 0.5000 0.0000 0.0000  6 O 1.92-2.13
Co 0.5000 0.5000 0.0000  6 O 1.92-2.13
O 0.0352 0.7500 0.3880  2 Co 1.93
O 0.1812 0.5542 0.8030  2 Co 1.92-2.13
O 0.1812 0.9458 0.8030  2 Co 1.92-2.13
O 0.3188 0.0542 0.3030  2 Co 1.92-2.13
O 0.3188 0.4458 0.3030  2 Co 1.92-2.13
O 0.4648 0.2500 0.8880  2 Co 1.93
O 0.5352 0.7500 0.1120  2 Co 1.93
O 0.6812 0.5542 0.6970  2 Co 1.92-2.13
O 0.6812 0.9458 0.6970  2 Co 1.92-2.13
O 0.8188 0.0542 0.1970  2 Co 1.92-2.13
O 0.8188 0.4458 0.1970  2 Co 1.92-2.13
O 0.9648 0.2500 0.6120  2 Co 1.93

Properties
- density (Mg/m³) = 8.38
- V (Å³ per atom) = 10.87
- crystal system = orthorhombic
- raw total energy (eV per cell) = -143.68

=====

Er2CoOsO8 | PBE+U | optimized geometry

Unit cell a=4.8167 b=4.8167 c=6.7287 alpha=90.00 beta=90.00 gamma=93.43
Last column: nearest neighbours and their distance in Å.
Fractional positions:
Er 0.0000 0.0000 0.2434  6 O 2.21-2.26
Er 0.0000 0.0000 0.7566  6 O 2.21-2.26
Co 0.5000 0.5000 0.0000  2 O 1.82
Os 0.5000 0.5000 0.5000  6 O 1.88-1.91
O 0.2156 0.2156 0.5000  1 Os 1.88
O 0.2244 0.2244 0.0000  1 Co 1.82
O 0.3192 0.6808 0.2881  1 Os 1.91
O 0.3192 0.6808 0.7119  1 Os 1.91
O 0.6808 0.3192 0.2881  1 Os 1.91
O 0.6808 0.3192 0.7119  1 Os 1.91
O 0.7756 0.7756 0.0000  1 Co 1.82
O 0.7844 0.7844 0.5000  1 Os 1.88

Properties
- density (Mg/m³) = 7.58
- V (Å³ per atom) = 12.99
- crystal system = orthorhombic
- raw total energy (eV per cell) = -89.14

=====

ErPaCoO6 | PBE+U | optimized geometry

Unit cell a=5.2487 b=5.2487 c=4.8058 alpha=90.00 beta=90.00 gamma=120.00
Last column: nearest neighbours and their distance in Å.
Fractional positions:
Er 0.0000 0.0000 0.0000  6 O 2.21
Pa 0.6667 0.3333 0.5000  6 O 2.20
Co 0.3333 0.6667 0.0000  6 O 1.93
O 0.0254 0.3762 0.2323  1 Co 1.93
O 0.0254 0.6492 0.7677  1 Co 1.93
O 0.3508 0.3762 0.7677  1 Co 1.93
O 0.3508 0.9746 0.2323  1 Co 1.93
O 0.6238 0.6492 0.2323  1 Co 1.93
O 0.6238 0.9746 0.7677  1 Co 1.93

Properties
- density (Mg/m³) = 8.01
- V (Å³ per atom) = 12.74
- crystal system = trigonal
- raw total energy (eV per cell) = -71.62

=====

Please write out number 4 again, unchanged.
ErPaCoO6 | PBE+U | optimized geometry

Unit cell a=5.2487 b=5.2487 c=4.8058 alpha=90.00 beta=90.00 gamma=120.00
Last column: nearest neighbours and their distance in Å.
Fractional positions:
Er 0.0000 0.0000 0.0000  6 O 2.21
Pa 0.6667 0.3333 0.5000  6 O 2.20
Co 0.3333 0.6667 0.0000  6 O 1.93
O 0.0254 0.3762 0.2323  1 Co 1.93
O 0.0254 0.6492 0.7677  1 Co 1.93
O 0.3508 0.3762 0.7677  1 Co 1.93
O 0.3508 0.9746 0.2323  1 Co 1.93
O 0.6238 0.6492 0.2323  1 Co 1.93
O 0.6238 0.9746 0.7677  1 Co 1.93

Properties
- density (Mg/m³) = 8.01
- V (Å³ per atom) = 12.74
- crystal system = trigonal
- raw total energy (eV per cell) = -71.62

=====

Look up the raw total energy of the third one.
-89.14 eV per cell

=====

Which formula does entry 2 have?
ErCoO3

=====

Among the records above, which one has the lowest density?
ErCoO2